Computed, not measured: a relaxed MnCd2Ni crystal at the GGA-PBE level of DFT.

Cell: 3.001 3.679 5.988 Å, 90.00 90.12 90.00°
Fractional positions:
Mn 0.000 0.000 0.000
Cd 0.499 0.500 0.739
Cd 0.501 0.500 0.261
Ni 0.000 0.000 0.500

symmetry: No. 10
energy: -16.0 eV/cell
ΔE_f: 194.8 meV per atom
DOS at the Fermi energy: 0.784 states/eV/atom

=====

Computed, not measured: a relaxed BeZn2Hg crystal at the GGA-PBE level of DFT.

Cell: 6.352 6.352 6.352 Å, 90.00 90.00 90.00°
Fractional positions:
Be 0.000 0.000 0.000
Be 0.000 0.500 0.500
Be 0.500 0.000 0.500
Be 0.500 0.500 0.000
Zn 0.250 0.250 0.250
Zn 0.250 0.250 0.750
Zn 0.250 0.750 0.250
Zn 0.250 0.750 0.750
Zn 0.750 0.250 0.250
Zn 0.750 0.250 0.750
Zn 0.750 0.750 0.250
Zn 0.750 0.750 0.750
Hg 0.000 0.000 0.500
Hg 0.000 0.500 0.000
Hg 0.500 0.000 0.000
Hg 0.500 0.500 0.500

symmetry: No. 225
energy: -19.3 eV/cell
ΔE_f: 438.1 meV per atom
DOS at the Fermi energy: 0.350 states/eV/atom

=====

Computed, not measured: a relaxed TlAgC crystal at the GGA-PBE level of DFT.

Cell: 4.146 5.737 6.355 Å, 63.20 71.25 89.99°
Fractional positions:
Tl 0.197 0.201 0.099
Tl 0.803 0.799 0.901
Ag 0.499 0.247 0.501
Ag 0.501 0.753 0.499
C 0.000 0.387 0.501
C 0.000 0.613 0.499

symmetry: No. 2
energy: -24.8 eV/cell
ΔE_f: 682.7 meV per atom
DOS at the Fermi energy: 0.230 states/eV/atom

=====

Computed, not measured: a relaxed TmGa6 crystal at the GGA-PBE level of DFT.

Cell: 6.977 6.977 6.977 Å, 90.00 90.00 90.00°
Fractional positions:
Tm 0.000 0.000 0.000
Tm 0.500 0.500 0.500
Ga 0.000 0.250 0.500
Ga 0.000 0.500 0.250
Ga 0.000 0.500 0.750
Ga 0.000 0.750 0.500
Ga 0.250 0.000 0.500
Ga 0.250 0.500 0.000
Ga 0.500 0.000 0.250
Ga 0.500 0.000 0.750
Ga 0.500 0.250 0.000
Ga 0.500 0.750 0.000
Ga 0.750 0.000 0.500
Ga 0.750 0.500 0.000

symmetry: No. 229
energy: -42.3 eV/cell
ΔE_f: 211.5 meV per atom
DOS at the Fermi energy: 0.485 states/eV/atom

=====

Computed, not measured: a relaxed Ba3AgH3 crystal at the GGA-PBE level of DFT.

Cell: 7.338 7.338 7.338 Å, 90.00 90.00 90.00°
Fractional positions:
Ba 0.000 0.250 0.500
Ba 0.000 0.750 0.500
Ba 0.250 0.500 0.000
Ba 0.500 0.000 0.250
Ba 0.500 0.000 0.750
Ba 0.750 0.500 0.000
Ag 0.000 0.000 0.000
Ag 0.500 0.500 0.500
H 0.000 0.500 0.250
H 0.000 0.500 0.750
H 0.250 0.000 0.500
H 0.500 0.250 0.000
H 0.500 0.750 0.000
H 0.750 0.000 0.500

symmetry: No. 223
energy: -41.2 eV/cell
DOS at the Fermi energy: 0.425 states/eV/atom

=====

Computed, not measured: a relaxed Pm2Pr5Er4 crystal at the GGA-PBE level of DFT.

Cell: 12.823 12.823 12.823 Å, 164.06 137.83 45.35°
Fractional positions:
Pm 0.231 0.231 0.000
Pm 0.769 0.769 0.000
Pr 0.156 0.356 0.800
Pr 0.444 0.644 0.800
Pr 0.500 0.000 0.500
Pr 0.556 0.356 0.200
Pr 0.844 0.644 0.200
Er 0.096 0.096 0.000
Er 0.184 0.500 0.684
Er 0.816 0.500 0.316
Er 0.904 0.904 0.000

symmetry: No. 71
energy: -49.8 eV/cell
ΔE_f: 169.8 meV per atom
DOS at the Fermi energy: 1.486 states/eV/atom

=====

Computed, not measured: a relaxed BaGeAs crystal at the GGA-PBE level of DFT.

Cell: 4.796 4.680 8.014 Å, 90.00 93.97 90.00°
Fractional positions:
Ba 0.000 0.000 0.000
Ba 0.474 0.000 0.459
Ge 0.505 0.500 0.800
Ge 0.972 0.500 0.659
As 0.519 0.500 0.116
As 0.954 0.500 0.343

symmetry: No. 6
energy: -26.3 eV/cell
ΔE_f: -651.6 meV per atom
DOS at the Fermi energy: 0.448 states/eV/atom

=====

Computed, not measured: a relaxed FeAsPC crystal at the GGA-PBE level of DFT.

Cell: 3.233 4.286 4.373 Å, 99.21 109.11 90.06°
Fractional positions:
Fe 0.000 0.000 0.000
As 0.438 0.558 0.907
P 0.968 0.124 0.514
C 0.557 0.230 0.179

symmetry: No. 1
energy: -25.9 eV/cell
ΔE_f: 469.0 meV per atom
DOS at the Fermi energy: 0.439 states/eV/atom

=====

Computed, not measured: a relaxed FeCuS2N crystal at the GGA-PBE level of DFT.

Cell: 4.691 4.691 3.509 Å, 90.00 90.00 90.00°
Fractional positions:
Fe 0.000 0.000 0.000
Cu 0.500 0.500 0.500
S 0.000 0.500 0.500
S 0.500 0.000 0.500
N 0.500 0.500 0.000

ΔE_f (raw): 1.12 eV per atom
symmetry: No. 123
energy: -23.5 eV/cell
DOS at the Fermi energy: 1.222 states/eV/atom

=====

Computed, not measured: a relaxed CsAc3Ga4O12 crystal at the GGA-PBE level of DFT.

Cell: 7.725 7.725 7.725 Å, 104.64 104.64 104.64°
Fractional positions:
Cs 0.000 0.000 0.000
Ac 0.000 0.546 0.454
Ac 0.454 0.000 0.546
Ac 0.546 0.454 0.000
Ga 0.045 0.500 0.955
Ga 0.500 0.500 0.500
Ga 0.500 0.955 0.045
Ga 0.955 0.045 0.500
O 0.022 0.621 0.786
O 0.102 0.898 0.500
O 0.214 0.379 0.978
O 0.353 0.647 0.500
O 0.379 0.978 0.214
O 0.500 0.102 0.898
O 0.500 0.353 0.647
O 0.621 0.786 0.022
O 0.647 0.500 0.353
O 0.786 0.022 0.621
O 0.898 0.500 0.102
O 0.978 0.214 0.379

ΔE_f (raw): -2.09 eV per atom
symmetry: No. 155
energy: -126.6 eV/cell
DOS at the Fermi energy: 1.090 states/eV/atom

=====

Computed, not measured: a relaxed Zn2InMo crystal at the GGA-PBE level of DFT.

Cell: 3.013 4.718 9.785 Å, 90.00 90.00 90.00°
Fractional positions:
Zn 0.000 0.000 0.231
Zn 0.000 0.000 0.769
Zn 0.500 0.500 0.269
Zn 0.500 0.500 0.731
In 0.000 0.500 0.000
In 0.500 0.000 0.500
Mo 0.000 0.500 0.500
Mo 0.500 0.000 0.000

symmetry: No. 71
energy: -30.2 eV/cell
ΔE_f: 252.4 meV per atom
DOS at the Fermi energy: 0.580 states/eV/atom

=====

Computed, not measured: a relaxed KAcMg2 crystal at the GGA-PBE level of DFT.

Cell: 4.153 4.153 8.977 Å, 90.00 90.00 90.00°
Fractional positions:
K 0.000 0.000 0.000
Ac 0.000 0.000 0.500
Mg 0.500 0.500 0.278
Mg 0.500 0.500 0.722

symmetry: No. 123
energy: -7.9 eV/cell
ΔE_f: 120.8 meV per atom
DOS at the Fermi energy: 0.887 states/eV/atom

=====

Computed, not measured: a relaxed Cu2IBr crystal at the GGA-PBE level of DFT.

Cell: 5.884 5.884 11.836 Å, 90.00 90.00 90.00°
Fractional positions:
Cu 0.237 0.250 0.125
Cu 0.250 0.737 0.375
Cu 0.250 0.763 0.875
Cu 0.263 0.250 0.625
Cu 0.737 0.750 0.625
Cu 0.750 0.237 0.875
Cu 0.750 0.263 0.375
Cu 0.763 0.750 0.125
I 0.000 0.000 0.500
I 0.000 0.500 0.750
I 0.500 0.000 0.250
I 0.500 0.500 0.000
Br 0.000 0.000 0.000
Br 0.000 0.500 0.250
Br 0.500 0.000 0.750
Br 0.500 0.500 0.500

ΔE_f (raw): -0.18 eV per atom
symmetry: No. 122
energy: -48.6 eV/cell
DOS at the Fermi energy: 0.000 states/eV/atom

=====

Computed, not measured: a relaxed Ho4GaC crystal at the GGA-PBE level of DFT.

Cell: 9.181 9.181 6.682 Å, 90.00 90.00 148.82°
Fractional positions:
Ho 0.027 0.973 0.500
Ho 0.170 0.830 0.888
Ho 0.203 0.797 0.389
Ho 0.407 0.593 0.671
Ho 0.593 0.407 0.171
Ho 0.797 0.203 0.889
Ho 0.830 0.170 0.388
Ho 0.973 0.027 0.000
Ga 0.377 0.623 0.148
Ga 0.623 0.377 0.648
C 0.092 0.908 0.178
C 0.908 0.092 0.678

symmetry: No. 36
energy: -64.6 eV/cell
ΔE_f: -289.0 meV per atom
DOS at the Fermi energy: 0.645 states/eV/atom

=====

Computed, not measured: a relaxed DyInPb2 crystal at the GGA-PBE level of DFT.

Cell: 4.812 4.812 4.795 Å, 90.00 90.00 90.00°
Fractional positions:
Dy 0.000 0.000 0.000
In 0.500 0.500 0.000
Pb 0.000 0.500 0.500
Pb 0.500 0.000 0.500

symmetry: No. 123
energy: -16.0 eV/cell
ΔE_f: -306.9 meV per atom
DOS at the Fermi energy: 0.436 states/eV/atom

=====

Computed, not measured: a relaxed Sc2AlV crystal at the GGA-PBE level of DFT.

Cell: 4.682 4.682 3.554 Å, 90.00 90.00 90.00°
Fractional positions:
Sc 0.000 0.500 0.000
Sc 0.500 0.000 0.000
Al 0.000 0.000 0.500
V 0.500 0.500 0.500

symmetry: No. 123
energy: -26.0 eV/cell
ΔE_f: -124.2 meV per atom
DOS at the Fermi energy: 0.754 states/eV/atom

=====

Computed, not measured: a relaxed K2CrIrSe crystal at the GGA-PBE level of DFT.

Cell: 6.492 6.492 4.619 Å, 90.00 90.00 90.00°
Fractional positions:
K 0.000 0.500 0.000
K 0.500 0.000 0.000
Cr 0.000 0.000 0.000
Ir 0.500 0.500 0.500
Se 0.000 0.000 0.500

ΔE_f (raw): 0.88 eV per atom
symmetry: No. 123
energy: -19.8 eV/cell
DOS at the Fermi energy: 0.784 states/eV/atom

=====

Computed, not measured: a relaxed TaHg2Rh crystal at the GGA-PBE level of DFT.

Cell: 3.168 4.937 9.816 Å, 90.00 90.00 90.00°
Fractional positions:
Ta 0.000 0.000 0.000
Ta 0.500 0.500 0.500
Hg 0.000 0.000 0.458
Hg 0.000 0.500 0.237
Hg 0.500 0.000 0.737
Hg 0.500 0.500 0.958
Rh 0.000 0.500 0.698
Rh 0.500 0.000 0.198

symmetry: No. 44
energy: -37.8 eV/cell
ΔE_f: 227.3 meV per atom
DOS at the Fermi energy: 0.544 states/eV/atom

=====

Computed, not measured: a relaxed SnSb2Pd9 crystal at the GGA-PBE level of DFT.

Cell: 4.057 4.057 12.104 Å, 90.00 90.00 90.00°
Fractional positions:
Sn 0.000 0.000 0.000
Sb 0.000 0.000 0.332
Sb 0.000 0.000 0.668
Pd 0.000 0.500 0.167
Pd 0.000 0.500 0.500
Pd 0.000 0.500 0.833
Pd 0.500 0.000 0.167
Pd 0.500 0.000 0.500
Pd 0.500 0.000 0.833
Pd 0.500 0.500 0.000
Pd 0.500 0.500 0.334
Pd 0.500 0.500 0.666

ΔE_f (raw): -0.41 eV per atom
symmetry: No. 123
energy: -64.0 eV/cell
DOS at the Fermi energy: 0.473 states/eV/atom

=====

Computed, not measured: a relaxed BaW2S crystal at the GGA-PBE level of DFT.

Cell: 4.922 4.922 17.213 Å, 90.00 90.00 90.00°
Fractional positions:
Ba 0.000 0.000 0.000
Ba 0.000 0.500 0.250
Ba 0.500 0.000 0.750
Ba 0.500 0.500 0.500
W 0.028 0.750 0.625
W 0.250 0.028 0.375
W 0.250 0.472 0.875
W 0.472 0.750 0.125
W 0.528 0.250 0.125
W 0.750 0.528 0.875
W 0.750 0.972 0.375
W 0.972 0.250 0.625
S 0.000 0.000 0.500
S 0.000 0.500 0.750
S 0.500 0.000 0.250
S 0.500 0.500 0.000

ΔE_f (raw): 0.78 eV per atom
symmetry: No. 122
energy: -115.4 eV/cell
DOS at the Fermi energy: 2.837 states/eV/atom